[1]
## LiAc2CrS6 (PBE-GGA)

Data for an optimized crystal structure of LiAc2CrS6.

The structure in extended XYZ format:
```
20
Lattice="-4.700 -2.564 -3.067 0.465 -5.947 4.259 -6.184 3.921 6.151" Properties=species:S:1:pos:R:3 pbc="T T T"
Li -2.350 -1.282 -1.533
Li -2.860 -1.013 5.205
Ac -1.317 -4.525 5.240
Ac -6.903 -2.003 5.462
Ac -9.102 -0.064 2.103
Ac -3.516 -2.586 1.881
Cr -5.442 0.679 1.542
Cr 0.232 -2.973 2.129
S -1.404 -4.721 2.130
S -6.781 -4.883 4.274
S -9.015 0.132 5.213
S -3.638 0.294 3.070
S -4.090 -3.260 4.882
S -9.497 -3.026 6.743
S -6.329 -1.329 2.461
S -0.922 -1.563 0.600
S -5.657 -4.472 0.800
S -6.176 -4.089 7.457
S -4.762 -0.117 6.543
S -4.244 -0.500 -0.114
```

Values from the calculation:
Its magnetization is 1.541 μB/f.u. The value obtained for the calculated total energy is -5.845 eV per atom. Its space group is P2_1/c.

---

[2]
## AcMg2CrN4 (PBE-GGA)

Data for an optimized crystal structure of AcMg2CrN4.

The structure in extended XYZ format:
```
16
Lattice="3.357 0.000 0.000 -1.678 5.940 0.000 0.000 0.000 10.618" Properties=species:S:1:pos:R:3 pbc="T T T"
Ac 0.000 0.866 7.963
Ac 1.678 5.075 2.654
Mg 0.000 4.569 5.715
Mg 1.678 1.371 0.406
Mg 1.678 1.371 4.902
Mg 0.000 4.569 10.211
Cr 1.678 3.661 7.963
Cr 0.000 2.279 2.654
N 0.000 3.283 1.293
N 1.678 2.657 6.602
N 1.678 2.657 9.324
N 0.000 3.283 4.015
N 0.000 0.000 5.309
N 0.000 0.000 0.000
N 0.000 4.663 7.963
N 1.678 1.277 2.654
```

Values from the calculation:
Its magnetization is 0.822 μB/f.u. The value obtained for the calculated total energy is -7.012 eV per atom. Its space group is Cmcm.

---

Number 1: formation energy without anion corrections -1.393 eV/atom, ρ 5.42 g/cm3. Number 2: formation energy without anion corrections -0.735 eV/atom, ρ 6.02 g/cm3.